Record 1
# SrNd2H

A relaxed structure of SrNd2H (PBE, Alexandria).

Cell lengths 3.7583, 3.7583, 10.2735 Å; angles 79.46, 79.46, 60.00 degrees
Closest atoms and distances in Å follow each position.
Positions (direct):
1 H 0.5000 0.5000 0.5000  6 Nd 2.58
2 Sr 0.0000 0.0000 0.0000  2 Nd 3.63, 6 Sr 3.76
3 Nd 0.8795 0.8795 0.3615  3 H 2.58
4 Nd 0.1205 0.1205 0.6385  3 H 2.58

Summary:
DOS(E_F): 1.2235 states/eV/atom
ρ: 5098 kg/m3
Calculated total energy: -3.64 eV/atom

---

Record 2
# Sr2NdH

A relaxed structure of Sr2NdH (PBE, Alexandria).

Cell lengths 3.7948, 3.7948, 10.7943 Å; angles 79.88, 79.88, 60.00 degrees
Closest atoms and distances in Å follow each position.
Positions (direct):
1 Sr 0.8840 0.8840 0.3481  3 H 2.72
2 Sr 0.1160 0.1160 0.6519  3 H 2.72
3 H 0.5000 0.5000 0.5000  6 Sr 2.72
4 Nd 0.0000 0.0000 0.0000  2 Sr 3.68, 6 Nd 3.79

Summary:
DOS(E_F): 1.2339 states/eV/atom
ρ: 4037 kg/m3
Calculated total energy: -2.76 eV/atom

---

Record 3
# SrNd2H8

A relaxed structure of SrNd2H8 (PBE, Alexandria).

Cell lengths 3.8919, 5.4871, 6.7381 Å; angles 114.03, 106.79, 90.00 degrees
Closest atoms and distances in Å follow each position.
Positions (direct):
1 H 0.8222 0.8222 0.6444  6 H 2.26-2.48
2 H 0.1778 0.1778 0.3556  6 H 2.26-2.48
3 H 0.0000 0.7106 0.0000  1 H 2.31, 2 Nd 2.38, 2 Sr 2.51
4 H 0.0000 0.2894 0.0000  1 H 2.31, 2 Nd 2.38, 2 Sr 2.51
5 H 0.6593 0.4356 0.3186  4 H 2.26-2.48, 3 Nd 2.31-2.43, 1 Sr 2.40
6 H 0.3407 0.1170 0.6814  4 H 2.26-2.48, 3 Nd 2.31-2.43, 1 Sr 2.40
7 H 0.6593 0.8830 0.3186  4 H 2.26-2.48, 3 Nd 2.31-2.43, 1 Sr 2.40
8 H 0.3407 0.5644 0.6814  4 H 2.26-2.48, 3 Nd 2.31-2.43, 1 Sr 2.40
9 Sr 0.5000 0.0000 0.0000  8 H 2.40-2.51
10 Nd 0.1784 0.6784 0.3568  10 H 2.31-2.57
11 Nd 0.8216 0.3216 0.6432  10 H 2.31-2.57

Summary:
ρ: 5116 kg/m3
Calculated total energy: -4.02 eV/atom